(1)
DFT (GGA-PBE) results for crystalline Ba4Au3Cl at its relaxed geometry.

Values from the calculation:
- raw total energy (eV per atom) = -3.42

a = 4.7031 Å, b = 8.2693 Å, c = 8.2693 Å
α = 70.88°, β = 90.00°, γ = 90.00°
With the nearest neighbours (Å) after each atom.
Element x y z (fractional)
Au1 0.0000 0.5001 0.5000  6 Ba 3.36-3.37
Ba1 0.5001 0.7553 0.2551  5 Au 3.30-3.36, 1 Cl 3.44
Au2 0.4999 0.0001 0.5000  6 Ba 3.30-3.31
Au3 0.0000 0.0001 0.0000  6 Ba 3.36-3.37
Ba2 0.9999 0.2431 0.2570  4 Au 3.31-3.37, 2 Cl 3.41
Ba3 0.4998 0.2450 0.7448  5 Au 3.30-3.36, 1 Cl 3.44
Cl1 0.5001 0.5003 0.9998  6 Ba 3.40-3.44
Ba4 0.9999 0.7571 0.7430  4 Au 3.31-3.37, 2 Cl 3.40

***

(2)
DFT (GGA-PBE) results for crystalline Ba8Au3Cl at its relaxed geometry.

Values from the calculation:
- raw total energy (eV per atom) = -2.93

a = 9.5354 Å, b = 9.5310 Å, c = 9.3854 Å
α = 120.46°, β = 90.00°, γ = 120.02°
With the nearest neighbours (Å) after each atom.
Element x y z (fractional)
Au1 0.5000 0.5000 0.0000  6 Ba 3.27-3.30
Au2 0.0000 0.5000 0.0000  6 Ba 3.27-3.30
Ba1 0.7479 0.0077 0.7555  2 Au 3.29-3.30, 1 Cl 3.38
Ba2 0.2557 0.5114 0.7672  3 Au 3.27
Ba3 0.7402 0.9923 0.2445  2 Au 3.29-3.30, 1 Cl 3.38
Au3 0.5000 0.0000 0.0000  6 Ba 3.27-3.29
Ba4 0.2520 0.5040 0.2444  2 Au 3.29, 1 Cl 3.37
Ba5 0.2521 0.9923 0.2445  2 Au 3.29-3.30, 1 Cl 3.38
Ba6 0.7480 0.4960 0.7556  2 Au 3.29, 1 Cl 3.37
Cl1 0.0000 0.0000 0.0000  6 Ba 3.37-3.38
Ba7 0.2598 0.0077 0.7555  2 Au 3.29-3.30, 1 Cl 3.38
Ba8 0.7443 0.4886 0.2328  3 Au 3.27

***

(3)
DFT (GGA-PBE) results for crystalline Ba2Au2Cl at its relaxed geometry.

Values from the calculation:
- energy above the lowest structure with this stoichiometry (eV/atom) = 0.271

a = 6.0250 Å, b = 6.0250 Å, c = 6.7205 Å
α = 63.37°, β = 63.37°, γ = 90.00°
With the nearest neighbours (Å) after each atom.
Element x y z (fractional)
Cl1 0.0000 0.0000 0.0000  2 Au 3.84, 8 Ba 3.98
Ba1 0.2500 0.7500 0.5000  4 Au 3.26
Ba2 0.7500 0.2500 0.5000  4 Au 3.26
Au1 0.3691 0.3691 0.2618  1 Au 2.72
Au2 0.6309 0.6309 0.7382  1 Au 2.72

***

(4)
DFT (GGA-PBE) results for crystalline BaAuCl3 at its relaxed geometry.

Values from the calculation:
- energy above the lowest structure with this stoichiometry (eV/atom) = 0.373

a = 5.9743 Å, b = 5.9743 Å, c = 5.9743 Å
α = 90.00°, β = 90.00°, γ = 90.00°
With the nearest neighbours (Å) after each atom.
Element x y z (fractional)
Cl1 0.0000 0.0000 0.5000  2 Ba 2.99
Au1 0.5000 0.5000 0.5000  12 Cl 4.22
Cl2 0.0000 0.5000 0.0000  2 Ba 2.99
Cl3 0.5000 0.0000 0.0000  2 Ba 2.99
Ba1 0.0000 0.0000 0.0000  6 Cl 2.99

***

(5)
DFT (GGA-PBE) results for crystalline BaAu4Cl at its relaxed geometry.

Values from the calculation:
- raw total energy (eV per atom) = -3.37

a = 5.7979 Å, b = 5.7979 Å, c = 5.7979 Å
α = 60.00°, β = 60.00°, γ = 60.00°
With the nearest neighbours (Å) after each atom.
Element x y z (fractional)
Au1 0.8770 0.3743 0.3743  6 Au 2.88-2.91
Au2 0.3743 0.3743 0.8770  6 Au 2.88-2.91
Au3 0.3743 0.8770 0.3743  6 Au 2.88-2.91
Cl1 0.0000 0.0000 0.0000  12 Au 3.40, 4 Ba 3.55
Au4 0.3743 0.3743 0.3743  6 Au 2.88-2.91
Ba1 0.7500 0.7500 0.7500  12 Au 3.40, 4 Cl 3.55

***

(6)
DFT (GGA-PBE) results for crystalline Ba8Au4Cl at its relaxed geometry.

Values from the calculation:
- raw total energy (eV per atom) = -3.05

a = 4.7587 Å, b = 12.2622 Å, c = 11.9853 Å
α = 82.40°, β = 78.55°, γ = 78.81°
With the nearest neighbours (Å) after each atom.
Element x y z (fractional)
Au1 0.3491 0.4593 0.8425  6 Ba 3.26-3.34
Ba1 0.1603 0.6621 0.0174  3 Au 3.33-3.34, 2 Cl 3.36
Ba2 0.5386 0.2698 0.6530  3 Au 3.27-3.34
Au2 0.6471 0.5298 0.1759  6 Ba 3.30-3.33
Cl1 0.6696 0.8009 0.8598  5 Ba 3.34-3.46
Ba3 0.8581 0.5917 0.6921  3 Au 3.28-3.31, 1 Cl 3.34
Ba4 0.1361 0.3983 0.3295  3 Au 3.30-3.33
Ba5 0.4588 0.7178 0.3647  3 Au 3.27-3.32
Ba6 0.7916 0.0612 0.3557  3 Au 3.26-3.27
Au3 0.1654 0.1635 0.5057  6 Ba 3.27-3.35
Ba7 0.8343 0.3350 0.9964  3 Au 3.26-3.30
Ba8 0.2034 0.9210 0.6721  3 Au 3.32-3.35, 2 Cl 3.46
Au4 0.8328 0.8219 0.5125  6 Ba 3.26-3.32

***

(7)
DFT (GGA-PBE) results for crystalline Ba4AuCl at its relaxed geometry.

Values from the calculation:
- energy above the lowest structure with this stoichiometry (eV/atom) = 0.851

a = 7.3667 Å, b = 7.3667 Å, c = 7.3667 Å
α = 60.00°, β = 60.00°, γ = 60.00°
With the nearest neighbours (Å) after each atom.
Element x y z (fractional)
Ba1 0.3750 0.8749 0.3750  6 Ba 3.68
Ba2 0.3750 0.3750 0.3750  6 Ba 3.68
Ba3 0.3750 0.3750 0.8749  6 Ba 3.68
Ba4 0.8749 0.3750 0.3750  6 Ba 3.68
Cl1 0.7500 0.7500 0.7500  12 Ba 4.32, 4 Au 4.51
Au1 0.0000 0.0000 0.0000  12 Ba 4.32, 4 Cl 4.51

***

(8)
DFT (GGA-PBE) results for crystalline Ba2Au2Cl at its relaxed geometry.

Values from the calculation:
- energy above the lowest structure with this stoichiometry (eV/atom) = 0.000

a = 8.8219 Å, b = 8.8219 Å, c = 4.4799 Å
α = 90.00°, β = 90.00°, γ = 90.00°
With the nearest neighbours (Å) after each atom.
Element x y z (fractional)
Cl1 0.0000 0.0000 0.0000  4 Ba 3.22
Au1 0.8871 0.3871 0.5000  1 Au 2.82
Ba1 0.3152 0.8152 0.0000  2 Cl 3.22, 6 Au 3.37-3.51
Cl2 0.5000 0.5000 0.0000  4 Ba 3.22
Ba2 0.8152 0.6848 0.0000  2 Cl 3.22, 6 Au 3.37-3.51
Au2 0.3871 0.1129 0.5000  1 Au 2.82
Au3 0.6129 0.8871 0.5000  1 Au 2.82
Au4 0.1129 0.6129 0.5000  1 Au 2.82
Ba3 0.1848 0.3152 0.0000  2 Cl 3.22, 6 Au 3.37-3.51
Ba4 0.6848 0.1848 0.0000  2 Cl 3.22, 6 Au 3.37-3.51

***

(9)
DFT (GGA-PBE) results for crystalline Ba2AuCl6 at its relaxed geometry.

Values from the calculation:
- raw total energy (eV per atom) = -3.65

a = 7.0651 Å, b = 7.0651 Å, c = 13.1761 Å
α = 90.00°, β = 90.00°, γ = 90.00°
With the nearest neighbours (Å) after each atom.
Element x y z (fractional)
Cl1 0.6987 0.6987 0.0000  2 Ba 2.96, 1 Au 3.01
Cl2 0.1771 0.8229 0.8630  1 Au 2.53
Ba1 0.0000 0.0000 0.3332  6 Cl 2.96-3.25
Cl3 0.1987 0.8013 0.5000  2 Ba 2.96, 1 Au 3.01
Cl4 0.3229 0.3229 0.3630  1 Au 2.53
Au1 0.0000 0.0000 0.0000  4 Cl 2.53
Cl5 0.3229 0.3229 0.6370  1 Au 2.53
Ba2 0.5000 0.5000 0.8332  6 Cl 2.96-3.25
Cl6 0.1771 0.8229 0.1370  1 Au 2.53
Cl7 0.8229 0.1771 0.1370  1 Au 2.53
Cl8 0.6771 0.6771 0.3630  1 Au 2.53
Ba3 0.5000 0.5000 0.1668  6 Cl 2.96-3.25
Cl9 0.8013 0.1987 0.5000  2 Ba 2.96, 1 Au 3.01
Au2 0.5000 0.5000 0.5000  4 Cl 2.53
Cl10 0.3013 0.3013 0.0000  2 Ba 2.96, 1 Au 3.01
Ba4 0.0000 0.0000 0.6668  6 Cl 2.96-3.25
Cl11 0.8229 0.1771 0.8630  1 Au 2.53
Cl12 0.6771 0.6771 0.6370  1 Au 2.53

***

(10)
DFT (GGA-PBE) results for crystalline BaAuCl4 at its relaxed geometry.

Values from the calculation:
- energy above the lowest structure with this stoichiometry (eV/atom) = 0.095

a = 8.2277 Å, b = 8.2277 Å, c = 8.2277 Å
α = 106.96°, β = 106.96°, γ = 114.62°
With the nearest neighbours (Å) after each atom.
Element x y z (fractional)
Cl1 0.7025 0.8789 0.1764  1 Au 2.49
Cl2 0.7025 0.5262 0.8236  1 Au 2.49
Cl3 0.0475 0.3711 0.3236  1 Au 2.49
Cl4 0.2762 0.9525 0.3236  1 Au 2.49
Cl5 0.0475 0.7238 0.6764  1 Au 2.49
Cl6 0.4738 0.2975 0.1764  1 Au 2.49
Cl7 0.6289 0.9525 0.6764  1 Au 2.49
Ba1 0.0000 0.0000 0.0000  8 Cl 3.16-3.20
Au1 0.2500 0.7500 0.5000  4 Cl 2.49
Cl8 0.1211 0.2975 0.8236  1 Au 2.49
Au2 0.5000 0.5000 0.0000  4 Cl 2.49
Ba2 0.7500 0.2500 0.5000  8 Cl 3.16-3.20

***

(11)
DFT (GGA-PBE) results for crystalline BaAuCl4 at its relaxed geometry.

Values from the calculation:
- energy above the lowest structure with this stoichiometry (eV/atom) = 0.885

a = 6.0970 Å, b = 6.0970 Å, c = 6.0970 Å
α = 60.00°, β = 60.00°, γ = 60.00°
With the nearest neighbours (Å) after each atom.
Element x y z (fractional)
Au1 0.7500 0.7500 0.7500  12 Cl 3.57, 4 Ba 3.73
Cl1 0.3752 0.8743 0.3752  6 Cl 3.04-3.05
Ba1 0.0000 0.0000 0.0000  12 Cl 3.58, 4 Au 3.73
Cl2 0.3752 0.3752 0.8743  6 Cl 3.04-3.05
Cl3 0.8743 0.3752 0.3752  6 Cl 3.04-3.05
Cl4 0.3752 0.3752 0.3752  6 Cl 3.04-3.05

***

(12)
DFT (GGA-PBE) results for crystalline BaAuCl4 at its relaxed geometry.

Values from the calculation:
- energy above the lowest structure with this stoichiometry (eV/atom) = 0.000

a = 5.9187 Å, b = 6.7356 Å, c = 9.8225 Å
α = 101.85°, β = 90.00°, γ = 116.06°
With the nearest neighbours (Å) after each atom.
Element x y z (fractional)
Cl1 0.3127 0.4955 0.6596  1 Au 2.44
Cl2 0.2912 0.0809 0.9315  1 Au 2.47
Ba1 0.7694 0.0000 0.7500  8 Cl 3.21-3.53
Au1 0.5000 0.5000 0.0000  4 Cl 2.44-2.47
Au2 0.0000 0.5000 0.5000  4 Cl 2.44-2.47
Cl3 0.7088 0.9191 0.0685  1 Au 2.47
Cl4 0.7896 0.0809 0.4315  1 Au 2.47
Cl5 0.8172 0.5045 0.8404  1 Au 2.44
Cl6 0.2104 0.9191 0.5685  1 Au 2.47
Cl7 0.1828 0.4955 0.1596  1 Au 2.44
Cl8 0.6873 0.5045 0.3404  1 Au 2.44
Ba2 0.2306 0.0000 0.2500  8 Cl 3.21-3.53

***

(13)
DFT (GGA-PBE) results for crystalline Ba4AuCl at its relaxed geometry.

Values from the calculation:
- energy above the lowest structure with this stoichiometry (eV/atom) = 0.000

a = 6.5581 Å, b = 10.3714 Å, c = 10.3891 Å
α = 107.06°, β = 108.40°, γ = 90.00°
With the nearest neighbours (Å) after each atom.
Element x y z (fractional)
Ba1 0.2844 0.6726 0.5687  1 Au 3.24, 3 Cl 3.28-3.30
Ba2 0.0494 0.3422 0.0989  2 Au 3.25-3.30, 1 Cl 3.39
Cl1 0.7793 0.6611 0.5585  6 Ba 3.28-3.39
Ba3 0.8356 0.0030 0.6712  1 Au 3.23, 1 Cl 3.37
Cl2 0.2207 0.3389 0.4415  6 Ba 3.28-3.39
Ba4 0.3876 0.3136 0.7752  2 Au 3.29, 1 Cl 3.38
Ba5 0.7156 0.3274 0.4313  1 Au 3.24, 3 Cl 3.28-3.30
Ba6 0.1644 0.9970 0.3288  1 Au 3.23, 1 Cl 3.37
Au1 0.8803 0.3300 0.7606  6 Ba 3.23-3.30
Ba7 0.9506 0.6578 0.9011  2 Au 3.25-3.30, 1 Cl 3.39
Au2 0.1197 0.6700 0.2394  6 Ba 3.23-3.30
Ba8 0.6124 0.6864 0.2248  2 Au 3.29, 1 Cl 3.38

***

(14)
DFT (GGA-PBE) results for crystalline Ba6Au2Cl at its relaxed geometry.

Values from the calculation:
- raw total energy (eV per atom) = -2.96

a = 8.0987 Å, b = 8.0987 Å, c = 9.0396 Å
α = 63.39°, β = 63.39°, γ = 60.00°
With the nearest neighbours (Å) after each atom.
Element x y z (fractional)
Ba1 0.7048 0.0539 0.8633  2 Au 3.30, 1 Cl 3.36
Ba2 0.0539 0.3779 0.8633  2 Au 3.30, 1 Cl 3.36
Ba3 0.2176 0.8774 0.3570  2 Au 3.28-3.29, 1 Cl 3.35
Ba4 0.8774 0.5481 0.3570  2 Au 3.28-3.29, 1 Cl 3.35
Cl1 0.7962 0.7962 0.6115  6 Ba 3.35-3.36
Au1 0.2937 0.2937 0.1190  6 Ba 3.28-3.30
Au2 0.4648 0.4648 0.6056  6 Ba 3.29-3.30
Ba5 0.5481 0.2176 0.3570  2 Au 3.28-3.29, 1 Cl 3.35
Ba6 0.3779 0.7048 0.8633  2 Au 3.30, 1 Cl 3.36

***

(15)
DFT (GGA-PBE) results for crystalline BaAu4Cl12 at its relaxed geometry.

Values from the calculation:
- raw total energy (eV per atom) = -2.76

a = 8.5405 Å, b = 8.5405 Å, c = 8.5405 Å
α = 109.47°, β = 109.47°, γ = 109.47°
With the nearest neighbours (Å) after each atom.
Element x y z (fractional)
Cl1 0.7214 0.9218 0.2005  2 Au 2.53
Au1 0.5000 0.0000 0.0000  6 Cl 2.53
Cl2 0.2786 0.0782 0.7995  2 Au 2.53
Cl3 0.7995 0.2786 0.0782  2 Au 2.53
Cl4 0.2005 0.2786 0.4791  2 Au 2.53
Cl5 0.0782 0.7995 0.2786  2 Au 2.53
Cl6 0.5209 0.7995 0.7214  2 Au 2.53
Au2 0.5000 0.5000 0.5000  6 Cl 2.53
Au3 0.0000 0.0000 0.5000  6 Cl 2.53
Cl7 0.7214 0.5209 0.7995  2 Au 2.53
Ba1 0.0000 0.0000 0.0000  12 Cl 3.39
Au4 0.0000 0.5000 0.0000  6 Cl 2.53
Cl8 0.9218 0.2005 0.7214  2 Au 2.53
Cl9 0.7995 0.7214 0.5209  2 Au 2.53
Cl10 0.4791 0.2005 0.2786  2 Au 2.53
Cl11 0.2005 0.7214 0.9218  2 Au 2.53
Cl12 0.2786 0.4791 0.2005  2 Au 2.53

***

(16)
DFT (GGA-PBE) results for crystalline BaAuCl6 at its relaxed geometry.

Values from the calculation:
- raw total energy (eV per atom) = -3.02

a = 6.0515 Å, b = 7.8249 Å, c = 6.5178 Å
α = 70.15°, β = 73.15°, γ = 55.62°
With the nearest neighbours (Å) after each atom.
Element x y z (fractional)
Cl1 0.7826 0.9990 0.7567  1 Au 2.34
Au1 0.0000 0.0000 0.0000  4 Cl 2.34-2.35
Cl2 0.5786 0.2469 0.1536  1 Au 2.35
Cl3 0.2174 0.0010 0.2433  1 Au 2.34
Ba1 0.5000 0.5000 0.5000  8 Cl 3.16-3.49
Cl4 0.9672 0.6649 0.3165  1 Cl 2.78, 1 Au 2.80
Cl5 0.0328 0.3351 0.6835  1 Cl 2.78, 1 Au 2.80
Cl6 0.4214 0.7531 0.8464  1 Au 2.35

***

(17)
DFT (GGA-PBE) results for crystalline CsBa2AuCl at its relaxed geometry.

Values from the calculation:
- raw total energy (eV per atom) = -2.57

a = 6.3124 Å, b = 6.3124 Å, c = 7.2085 Å
α = 90.00°, β = 90.00°, γ = 90.00°
With the nearest neighbours (Å) after each atom.
Element x y z (fractional)
Au1 0.0000 0.0000 0.0000  4 Ba 3.16
Ba1 0.5000 0.0000 0.0000  2 Au 3.16
Ba2 0.0000 0.5000 0.0000  2 Au 3.16
Cs1 0.0000 0.0000 0.5000  2 Au 3.60
Cl1 0.5000 0.5000 0.5000  4 Cs 4.46, 8 Ba 4.79

***

(18)
DFT (GGA-PBE) results for crystalline Cs2BaAu2Cl6 at its relaxed geometry.

Values from the calculation:
- raw total energy (eV per atom) = -3.33

a = 7.7995 Å, b = 8.2435 Å, c = 8.4431 Å
α = 118.09°, β = 90.00°, γ = 118.23°
With the nearest neighbours (Å) after each atom.
Element x y z (fractional)
Ba1 0.5000 0.0000 0.5000  6 Cl 3.06-3.08
Cl1 0.6917 0.8683 0.1839  1 Au 2.55
Au1 0.9392 0.8785 0.7864  3 Cl 2.40-2.55
Cl2 0.8234 0.1317 0.8161  1 Au 2.55
Cs1 0.2687 0.5375 0.7926  5 Cl 3.50-3.61
Cl3 0.7453 0.4906 0.6476  1 Au 2.40
Cs2 0.7313 0.4625 0.2074  5 Cl 3.50-3.61
Cl4 0.1766 0.8683 0.1839  1 Au 2.55
Au2 0.0608 0.1215 0.2136  3 Cl 2.40-2.55
Cl5 0.3083 0.1317 0.8161  1 Au 2.55
Cl6 0.2547 0.5094 0.3524  1 Au 2.40

***

(19)
DFT (GGA-PBE) results for crystalline CsBaAuCl2 at its relaxed geometry.

Values from the calculation:
- raw total energy (eV per atom) = -3.52

a = 6.0229 Å, b = 6.4102 Å, c = 6.0229 Å
α = 90.00°, β = 90.00°, γ = 90.00°
With the nearest neighbours (Å) after each atom.
Element x y z (fractional)
Cs1 0.5000 0.5000 0.5000  4 Au 4.26, 8 Cl 4.40
Au1 0.0000 0.5000 0.0000  2 Ba 3.21
Ba1 0.0000 0.0000 0.0000  4 Cl 3.01, 2 Au 3.21
Cl1 0.0000 0.0000 0.5000  2 Ba 3.01
Cl2 0.5000 0.0000 0.0000  2 Ba 3.01

***

(20)
DFT (GGA-PBE) results for crystalline BaCu2AuCl8 at its relaxed geometry.

Values from the calculation:
- raw total energy (eV per atom) = -3.21

a = 6.3104 Å, b = 6.3104 Å, c = 8.7877 Å
α = 90.00°, β = 90.00°, γ = 120.00°
With the nearest neighbours (Å) after each atom.
Element x y z (fractional)
Cl1 0.0028 0.6908 0.3179  1 Cu 2.26
Cl2 0.3092 0.3121 0.3179  1 Cu 2.26
Cl3 0.6667 0.3333 0.0001  1 Cu 2.25
Cu1 0.6667 0.3333 0.2560  4 Cl 2.25-2.26
Cu2 0.3333 0.6667 0.7440  4 Cl 2.25-2.26
Cl4 0.3333 0.6667 0.9999  1 Cu 2.25
Ba1 0.0000 0.0000 0.0000  12 Cl 3.41-3.64
Cl5 0.6879 0.9972 0.3179  1 Cu 2.26
Cl6 0.9972 0.3092 0.6821  1 Cu 2.26
Au1 0.0000 0.0000 0.5000  6 Cl 2.53
Cl7 0.3121 0.0028 0.6821  1 Cu 2.26
Cl8 0.6908 0.6879 0.6821  1 Cu 2.26